[1]
Here is a geometry-optimized TmTl2Te3O12 structure from the Alexandria database. Energies are from PBE.

Unit cell a=7.535 b=7.535 c=7.535 alpha=58.77 beta=58.77 gamma=58.77
Each line ends with the local moment (μB).
Atoms (fractional coordinates):
Tm  0.000  0.000  0.000  0.00
Tl  0.643  0.643  0.643  0.00
Tl  0.357  0.357  0.357  0.00
Te  0.500  0.000  0.000  -0.01
Te  0.000  0.500  0.000  -0.01
Te  0.000  0.000  0.500  -0.01
O  0.316  0.316  0.922  0.06
O  0.924  0.924  0.352  0.08
O  0.352  0.924  0.924  0.08
O  0.922  0.316  0.316  0.06
O  0.924  0.352  0.924  0.08
O  0.316  0.922  0.316  0.06
O  0.684  0.684  0.078  0.06
O  0.076  0.076  0.648  0.08
O  0.648  0.076  0.076  0.08
O  0.078  0.684  0.684  0.06
O  0.076  0.648  0.076  0.08
O  0.684  0.078  0.684  0.06

Calculated values
symmetry: R-3m, No. 166
formation energy (no corrections): -1.244 eV per atom

---

[2]
Here is a geometry-optimized Ce11Tl9Ir4 structure from the Alexandria database. Energies are from PBE.

Unit cell a=13.398 b=13.398 c=3.769 alpha=90.00 beta=90.00 gamma=111.46
Each line ends with the local moment (μB).
Atoms (fractional coordinates):
Ce  0.919  0.577  0.000  0.57
Ce  0.081  0.423  0.000  0.57
Ce  0.577  0.919  0.000  0.57
Ce  0.423  0.081  0.000  0.57
Ce  0.373  0.627  0.000  0.35
Ce  0.627  0.373  0.000  0.35
Ce  0.152  0.848  0.000  1.01
Ce  0.848  0.152  0.000  1.01
Ce  0.000  0.000  0.000  0.92
Ce  0.685  0.685  0.000  0.28
Ce  0.315  0.315  0.000  0.28
Tl  0.154  0.639  0.500  0.00
Tl  0.846  0.361  0.500  0.00
Tl  0.639  0.154  0.500  0.00
Tl  0.361  0.846  0.500  0.00
Tl  0.922  0.780  0.500  0.00
Tl  0.078  0.220  0.500  0.00
Tl  0.780  0.922  0.500  0.00
Tl  0.220  0.078  0.500  0.00
Tl  0.500  0.500  0.500  0.01
Ir  0.752  0.549  0.500  -0.05
Ir  0.248  0.451  0.500  -0.05
Ir  0.549  0.752  0.500  -0.05
Ir  0.451  0.248  0.500  -0.05

Calculated values
symmetry: Cmmm, No. 65
energy of formation: -0.453 eV/atom

---

[3]
Here is a geometry-optimized Mn4Ni3 structure from the Alexandria database. Energies are from PBE.

Unit cell a=10.658 b=10.658 c=10.658 alpha=164.86 beta=164.86 gamma=21.47
Each line ends with the local moment (μB).
Atoms (fractional coordinates):
Mn  0.852  0.852  0.000  2.25
Mn  0.148  0.148  0.000  2.25
Mn  0.573  0.573  0.000  2.79
Mn  0.427  0.427  0.000  2.79
Ni  0.000  0.000  0.000  0.77
Ni  0.714  0.714  0.000  0.34
Ni  0.286  0.286  0.000  0.34

Calculated values
symmetry: I4/mmm, No. 139
energy of formation: 0.141 eV/atom

---

[4]
Here is a geometry-optimized Cd3PdF structure from the Alexandria database. Energies are from PBE.

Unit cell a=4.625 b=4.625 c=4.625 alpha=90.00 beta=90.00 gamma=90.00
Atoms (fractional coordinates):
F  0.000  0.000  0.000
Pd  0.500  0.500  0.500
Cd  0.000  0.500  0.000
Cd  0.000  0.000  0.500
Cd  0.500  0.000  0.000

Calculated values
symmetry: Pm-3m, No. 221
formation energy (no corrections): -0.341 eV per atom

---

[5]
Here is a geometry-optimized Ni2MoAu structure from the Alexandria database. Energies are from PBE.

Unit cell a=2.726 b=2.726 c=7.494 alpha=90.00 beta=90.00 gamma=90.01
Atoms (fractional coordinates):
Ni  0.000  0.000  0.986
Ni  0.000  0.000  0.514
Mo  0.500  0.500  0.750
Au  0.500  0.500  0.250

Calculated values
symmetry: P4/mmm, No. 123
energy of formation: 0.023 eV/atom

---

[6]
Here is a geometry-optimized Li3Sc structure from the Alexandria database. Energies are from PBE.

Unit cell a=5.833 b=5.833 c=5.833 alpha=148.32 beta=127.11 gamma=62.98
Atoms (fractional coordinates):
Li  0.229  0.229  0.000
Li  0.771  0.771  0.000
Li  0.000  0.500  0.500
Sc  0.500  0.000  0.500

Calculated values
symmetry: Immm, No. 71
energy of formation: 0.180 eV/atom

---

[7]
Here is a geometry-optimized Mg4InRu structure from the Alexandria database. Energies are from PBE.

Unit cell a=5.484 b=5.484 c=5.484 alpha=60.00 beta=60.00 gamma=60.00
Atoms (fractional coordinates):
Mg  0.873  0.376  0.376
Mg  0.376  0.376  0.873
Mg  0.376  0.873  0.376
Mg  0.376  0.376  0.376
In  0.000  0.000  0.000
Ru  0.750  0.750  0.750

Calculated values
symmetry: F-43m, No. 216
energy of formation: 0.296 eV/atom

---

[8]
Here is a geometry-optimized CoHgTe2 structure from the Alexandria database. Energies are from PBE.

Unit cell a=3.774 b=3.774 c=7.258 alpha=90.00 beta=90.00 gamma=90.00
Each line ends with the local moment (μB).
Atoms (fractional coordinates):
Co  0.000  0.000  0.422  1.49
Hg  0.500  0.500  0.962  0.01
Te  0.000  0.000  0.763  0.09
Te  0.500  0.500  0.353  0.01

Calculated values
symmetry: P4mm, No. 99
formation energy (no corrections): 0.194 eV per atom

---

[9]
Here is a geometry-optimized Cs4CeDy3Se8 structure from the Alexandria database. Energies are from PBE.

Unit cell a=8.626 b=9.743 c=8.626 alpha=116.29 beta=120.00 gamma=90.00
Each line ends with the local moment (μB).
Atoms (fractional coordinates):
Cs  0.500  0.000  0.000  0.00
Cs  0.500  0.000  0.500  0.00
Cs  0.000  0.000  0.000  0.00
Cs  0.000  0.000  0.500  0.00
Ce  0.000  0.500  0.000  0.94
Dy  0.500  0.500  0.000  0.00
Dy  0.500  0.500  0.500  0.00
Dy  0.000  0.500  0.500  0.00
Se  0.233  0.686  0.954  -0.01
Se  0.233  0.686  0.465  -0.01
Se  0.272  0.315  0.543  0.00
Se  0.721  0.686  0.954  -0.01
Se  0.279  0.314  0.046  -0.01
Se  0.728  0.685  0.457  0.00
Se  0.767  0.314  0.535  -0.01
Se  0.767  0.314  0.046  -0.01

Calculated values
symmetry: R-3m, No. 166
formation energy (no corrections): -1.708 eV per atom

---

[10]
Here is a geometry-optimized Cs2HRh2 structure from the Alexandria database. Energies are from PBE.

Unit cell a=6.301 b=6.301 c=5.516 alpha=90.00 beta=90.00 gamma=90.00
Atoms (fractional coordinates):
Cs  0.186  0.686  0.500
Cs  0.686  0.814  0.500
Cs  0.814  0.314  0.500
Cs  0.314  0.186  0.500
H  0.000  0.000  0.000
H  0.500  0.500  0.000
Rh  0.296  0.796  0.000
Rh  0.796  0.704  0.000
Rh  0.704  0.204  0.000
Rh  0.204  0.296  0.000

Calculated values
symmetry: P4/mbm, No. 127
final energy: -30.5 eV per cell

---

[11]
Here is a geometry-optimized YCr2Fe structure from the Alexandria database. Energies are from PBE.

Unit cell a=4.590 b=4.590 c=5.124 alpha=74.85 beta=74.85 gamma=39.92
Each line ends with the local moment (μB).
Atoms (fractional coordinates):
Cr  0.961  0.961  0.128  0.02
Cr  0.539  0.539  0.372  0.02
Fe  0.250  0.250  0.250  1.28
Y  0.750  0.750  0.750  -0.07

Calculated values
symmetry: C2/m, No. 12
energy of formation: 0.432 eV/atom

---

[12]
Here is a geometry-optimized YZnIrO6 structure from the Alexandria database. Energies are from PBE.

Unit cell a=5.444 b=5.444 c=8.628 alpha=90.00 beta=90.00 gamma=120.00
Each line ends with the local moment (μB).
Atoms (fractional coordinates):
Y  0.333  0.667  0.250  0.02
Y  0.667  0.333  0.750  0.02
Zn  0.000  0.000  0.000  0.02
Zn  0.000  0.000  0.500  0.02
Ir  0.667  0.333  0.250  0.80
Ir  0.333  0.667  0.750  0.80
O  0.678  0.633  0.124  0.11
O  0.955  0.322  0.124  0.11
O  0.322  0.955  0.624  0.11
O  0.045  0.678  0.876  0.11
O  0.367  0.322  0.376  0.11
O  0.955  0.633  0.376  0.11
O  0.633  0.955  0.876  0.11
O  0.678  0.045  0.376  0.11
O  0.045  0.367  0.624  0.11
O  0.367  0.045  0.124  0.11
O  0.633  0.678  0.624  0.11
O  0.322  0.367  0.876  0.11

Calculated values
symmetry: P-31c, No. 163
formation energy (no corrections): -1.401 eV per atom

---

[13]
Here is a geometry-optimized TlPtNO2 structure from the Alexandria database. Energies are from PBE.

Unit cell a=4.286 b=4.286 c=4.274 alpha=90.00 beta=90.00 gamma=90.00
Each line ends with the local moment (μB).
Atoms (fractional coordinates):
Tl  0.000  0.000  0.000  0.01
O  0.000  0.500  0.000  0.46
O  0.500  0.000  0.000  0.46
Pt  0.500  0.500  0.500  1.15
N  0.000  0.000  0.500  0.93

Calculated values
symmetry: P4/mmm, No. 123
formation energy (no corrections): 1.547 eV per atom

---

[14]
Here is a geometry-optimized CdTc3B structure from the Alexandria database. Energies are from PBE.

Unit cell a=4.175 b=4.175 c=4.175 alpha=90.00 beta=90.00 gamma=90.00
Atoms (fractional coordinates):
B  0.000  0.000  0.000
Tc  0.000  0.500  0.000
Tc  0.000  0.000  0.500
Tc  0.500  0.000  0.000
Cd  0.500  0.500  0.500

Calculated values
symmetry: Pm-3m, No. 221
energy of formation: 0.318 eV/atom

---

[15]
Here is a geometry-optimized CeTmNbN3 structure from the Alexandria database. Energies are from PBE.

Unit cell a=3.361 b=5.763 c=8.620 alpha=102.93 beta=90.00 gamma=90.00
Atoms (fractional coordinates):
Ce  0.750  0.643  0.689
Ce  0.250  0.357  0.311
Tm  0.250  0.770  0.051
Tm  0.750  0.230  0.949
Nb  0.250  0.125  0.631
Nb  0.750  0.875  0.369
N  0.250  0.750  0.487
N  0.750  0.048  0.168
N  0.750  0.559  0.174
N  0.750  0.250  0.513
N  0.250  0.441  0.826
N  0.250  0.952  0.832

Calculated values
symmetry: P2_1/m, No. 11
formation energy (no corrections): -1.473 eV per atom

---

[16]
Here is a geometry-optimized Nd3Ni8Hg structure from the Alexandria database. Energies are from PBE.

Unit cell a=5.106 b=5.106 c=8.912 alpha=73.35 beta=73.35 gamma=60.00
Atoms (fractional coordinates):
Nd  0.377  0.377  0.868
Nd  0.993  0.993  0.020
Nd  0.505  0.505  0.484
Ni  0.941  0.436  0.187
Ni  0.439  0.937  0.687
Ni  0.436  0.436  0.187
Ni  0.937  0.937  0.687
Ni  0.188  0.188  0.436
Ni  0.688  0.688  0.937
Ni  0.436  0.941  0.187
Ni  0.937  0.439  0.687
Hg  0.872  0.872  0.384

Calculated values
symmetry: R3m, No. 160
energy of formation: -0.296 eV/atom

---

[17]
Here is a geometry-optimized ZnHgAs2 structure from the Alexandria database. Energies are from PBE.

Unit cell a=7.230 b=7.230 c=7.230 alpha=151.71 beta=149.93 gamma=41.76
Atoms (fractional coordinates):
As  0.926  0.926  0.000
As  0.794  0.294  0.500
Hg  0.562  0.562  0.000
Zn  0.218  0.718  0.500

Calculated values
symmetry: Imm2, No. 44
energy of formation: 0.172 eV/atom

---

[18]
Here is a geometry-optimized CaNpInI6 structure from the Alexandria database. Energies are from PBE.

Unit cell a=8.033 b=8.033 c=15.210 alpha=90.00 beta=90.00 gamma=120.00
Each line ends with the local moment (μB).
Atoms (fractional coordinates):
Ca  0.333  0.667  0.250  0.00
Ca  0.667  0.333  0.750  0.00
Np  0.667  0.333  0.250  4.02
Np  0.333  0.667  0.750  4.02
In  0.000  0.000  0.000  0.00
In  0.000  0.000  0.500  0.00
I  0.641  0.638  0.132  -0.02
I  0.997  0.359  0.132  -0.02
I  0.359  0.997  0.632  -0.02
I  0.003  0.641  0.868  -0.02
I  0.362  0.359  0.368  -0.02
I  0.997  0.638  0.368  -0.02
I  0.638  0.997  0.868  -0.02
I  0.641  0.003  0.368  -0.02
I  0.003  0.362  0.632  -0.02
I  0.362  0.003  0.132  -0.02
I  0.638  0.641  0.632  -0.02
I  0.359  0.362  0.868  -0.02

Calculated values
symmetry: P-31c, No. 163
formation energy (no corrections): -1.010 eV per atom

---

[19]
Here is a geometry-optimized ScTc2Rh structure from the Alexandria database. Energies are from PBE.

Unit cell a=5.147 b=5.147 c=5.147 alpha=143.89 beta=127.40 gamma=65.47
Atoms (fractional coordinates):
Rh  0.492  0.492  0.000
Sc  0.753  0.253  0.500
Tc  0.015  0.015  0.000
Tc  0.240  0.740  0.500

Calculated values
symmetry: Imm2, No. 44
energy of formation: -0.115 eV/atom

---

[20]
Here is a geometry-optimized BaAg3S3 structure from the Alexandria database. Energies are from PBE.

Unit cell a=7.081 b=7.081 c=7.081 alpha=90.00 beta=90.00 gamma=90.00
Atoms (fractional coordinates):
S  0.000  0.250  0.500
S  0.000  0.750  0.500
S  0.500  0.000  0.750
S  0.750  0.500  0.000
S  0.500  0.000  0.250
S  0.250  0.500  0.000
Ba  0.500  0.500  0.500
Ba  0.000  0.000  0.000
Ag  0.250  0.000  0.500
Ag  0.000  0.500  0.250
Ag  0.500  0.750  0.000
Ag  0.750  0.000  0.500
Ag  0.000  0.500  0.750
Ag  0.500  0.250  0.000

Calculated values
symmetry: Pm-3n, No. 223
formation energy (no corrections): -0.481 eV per atom

---

Computed values of N(E_F) (unit: states/eV per cell) for the preceding records, in sequence: 12.59, 58.78, 10.30, 1.46, 3.11, 3.94, 5.30, 3.57, 4.48, 6.94, 3.75, 9.61, 3.64, 3.59, 5.78, 8.45, 1.38, 17.63, 4.61, 4.54.
Computed values of total magnetization (unit: μB/atom) for the preceding records, in sequence: 0.05, 0.32, 1.67, 0.00, 0.00, 0.00, 0.00, 0.45, 0.06, 0.00, 0.30, 0.19, 0.70, 0.00, 0.00, 0.00, 0.00, 0.44, 0.00, 0.00.